## VAg2HO4 (PBE+U)

Data for crystalline VAg2HO4 at its relaxed geometry.

## Properties
Its space group is P1, No. 1. Its density of states at the Fermi level is 0.0 states/eV/f.u. Its energy is -5.546 eV per atom.

Unit cell a=5.8496 b=4.6827 c=5.8952 alpha=119.78 beta=121.29 gamma=81.19
Last column: nearest neighbours and their distance in Å.
Fractional coordinates of all 8 atoms:
O: 0.7867 0.6751 0.8056  1 H 0.99
O: 0.0427 0.0757 0.7192  1 V 1.73
O: 0.8070 0.4043 0.2522  1 V 1.72
O: 0.4802 0.8960 0.3510  1 V 1.72
Ag: 0.1721 0.1875 0.3845  2 O 2.12-2.14
Ag: 0.4526 0.9115 0.9269  4 O 2.27-2.50
V: 0.7811 0.7648 0.5270  4 O 1.72-1.87
H: 0.8647 0.4721 0.8076  1 O 0.99